# 1
## HgTePdO (GGA-PBE)

Data for a relaxed HgTePdO crystal.

**Distance to the lowest polymorph of the same formula**: 138 meV/atom
**ρ**: 8964 kg/m3

Cell lengths 6.7756, 9.1066, 5.4115 Å; angles 90.00, 90.00, 90.00 degrees
Atoms (fractional coordinates):
Te1 0.5290 0.3713 0.0657
Te2 0.4710 0.6287 0.5657
Te3 0.9710 0.3713 0.5657
Te4 0.0290 0.6287 0.0657
Pd1 0.4268 0.6517 0.0651
Pd2 0.0732 0.6517 0.5651
Pd3 0.5732 0.3483 0.5651
Pd4 0.9268 0.3483 0.0651
Hg1 0.3656 0.0798 0.0436
Hg2 0.6344 0.9202 0.5436
Hg3 0.8656 0.9202 0.0436
Hg4 0.1344 0.0798 0.5436
O1 0.9695 0.8726 0.5755
O2 0.0305 0.1274 0.0755
O3 0.4695 0.1274 0.5755
O4 0.5305 0.8726 0.0755


# 2
## GdEr3Pb (GGA-PBE)

Data for a relaxed GdEr3Pb crystal.

**VASP energy**: -18.2 eV per formula unit
**Spin magnetization**: 0.006 μB/f.u.
**ρ**: 8352 kg/m3

Cell lengths 5.5638, 5.5638, 5.5638 Å; angles 90.00, 90.00, 90.00 degrees
Atoms (fractional coordinates):
Gd1 0.0000 0.0000 0.0000
Er1 0.0000 0.5000 0.0000
Er2 0.5000 0.0000 0.0000
Er3 0.0000 0.0000 0.5000
Pb1 0.5000 0.5000 0.5000


# 3
## RbNbRe (GGA-PBE)

Data for a relaxed RbNbRe crystal.

**Distance to the lowest polymorph of the same formula**: 1394 meV/atom
**Spin magnetization**: 0.021 μB/f.u.
**ρ**: 8960 kg/m3

Cell lengths 4.5718, 4.5718, 4.5718 Å; angles 60.00, 60.00, 60.00 degrees
Atoms (fractional coordinates):
Rb1 0.0000 0.0000 0.0000
Re1 0.7500 0.7500 0.7500
Nb1 0.2500 0.2500 0.2500


# 4
## Dy2TmTl3CuNi2 (GGA-PBE)

Data for a relaxed Dy2TmTl3CuNi2 crystal.

**VASP energy**: -38.6 eV per formula unit
**Spin magnetization**: 0.007 μB/f.u.
**ρ**: 11404 kg/m3

Cell lengths 3.7886, 7.5592, 7.5592 Å; angles 119.96, 90.00, 90.00 degrees
Atoms (fractional coordinates):
Tl1 0.5000 0.7352 0.9990
Tl2 0.5000 0.2656 0.2656
Tl3 0.5000 0.9990 0.7352
Ni1 0.5000 0.6657 0.3349
Ni2 0.5000 0.3349 0.6657
Dy1 0.0000 0.0003 0.4104
Dy2 0.0000 0.4104 0.0003
Tm1 0.0000 0.5897 0.5897
Cu1 0.0000 0.9992 0.9992


# 5
## RbDyOs (GGA-PBE)

Data for a relaxed RbDyOs crystal.

**VASP energy**: -13.4 eV per formula unit
**Spin magnetization**: 0.000 μB/f.u.
**ρ**: 8515 kg/m3

Cell lengths 4.9440, 4.9440, 4.9440 Å; angles 60.00, 60.00, 60.00 degrees
Atoms (fractional coordinates):
Rb1 0.7500 0.7500 0.7500
Os1 0.0000 0.0000 0.0000
Dy1 0.2500 0.2500 0.2500


# 6
## Ho3Zn3CuAu2 (GGA-PBE)

Data for a relaxed Ho3Zn3CuAu2 crystal.

**Spin magnetization**: 0.014 μB/f.u.
**ρ**: 10599 kg/m3
**Energy of formation from the pure elements**: -57 kJ/mol of atoms

Cell lengths 7.2980, 7.2980, 3.9008 Å; angles 90.00, 90.00, 120.00 degrees
Atoms (fractional coordinates):
Au1 0.3333 0.6667 0.5000
Au2 0.6667 0.3333 0.5000
Ho1 0.4049 0.4049 0.0000
Ho2 0.0000 0.5951 0.0000
Ho3 0.5951 0.0000 0.0000
Zn1 0.7662 0.7662 0.5000
Zn2 0.0000 0.2338 0.5000
Zn3 0.2338 0.0000 0.5000
Cu1 0.0000 0.0000 0.0000


# 7
## Ta4CdCuC2 (GGA-PBE)

Data for a relaxed Ta4CdCuC2 crystal.

**VASP energy**: -72.8 eV per formula unit
**Spin magnetization**: 0.001 μB/f.u.
**ρ**: 12951 kg/m3

Cell lengths 3.1288, 3.1288, 13.9707 Å; angles 90.00, 90.00, 120.00 degrees
Atoms (fractional coordinates):
Ta1 0.6667 0.3333 0.3245
Ta2 0.6667 0.3333 0.6755
Ta3 0.3333 0.6667 0.8493
Ta4 0.3333 0.6667 0.1507
C1 0.0000 0.0000 0.7617
C2 0.0000 0.0000 0.2383
Cd1 0.3333 0.6667 0.5000
Cu1 0.6667 0.3333 0.0000


# 8
## Tb3PmSb4 (GGA-PBE)

Data for a relaxed Tb3PmSb4 crystal.

**VASP energy**: -44.4 eV per formula unit
**Spin magnetization**: 0.002 μB/f.u.
**ρ**: 7526 kg/m3

Cell lengths 6.2544, 6.2544, 6.2544 Å; angles 90.00, 90.00, 90.00 degrees
Atoms (fractional coordinates):
Tb1 0.5000 0.0000 0.5000
Tb2 0.5000 0.5000 0.0000
Tb3 0.0000 0.5000 0.5000
Sb1 0.0000 0.5000 0.0000
Sb2 0.0000 0.0000 0.5000
Sb3 0.5000 0.5000 0.5000
Sb4 0.5000 0.0000 0.0000
Pm1 0.0000 0.0000 0.0000


# 9
## RbPPdSe4 (GGA-PBE)

Data for a relaxed RbPPdSe4 crystal.

**VASP energy**: -29.2 eV per formula unit
**ρ**: 3676 kg/m3

Cell lengths 8.9685, 8.9685, 8.9685 Å; angles 122.79, 122.79, 85.23 degrees
Atoms (fractional coordinates):
Se1 0.0002 0.2242 0.5000
Se2 0.5002 0.0002 0.7759
Se3 0.4998 0.9998 0.2241
Se4 0.7242 0.5002 0.5000
Se5 0.7758 0.2758 0.7759
Se6 0.2758 0.4998 0.5000
Se7 0.9998 0.7758 0.5000
Se8 0.2242 0.7242 0.2241
Pd1 0.5000 0.0000 0.5000
Pd2 0.0000 0.5000 0.5000
P1 0.7500 0.2500 0.5000
P2 0.2500 0.7500 0.5000
Rb1 0.7500 0.7500 0.0000
Rb2 0.2500 0.2500 0.0000


# 10
## ZnW (GGA-PBE)

Data for a relaxed ZnW crystal.

**Distance to the lowest polymorph of the same formula**: 83 meV/atom
**Spin magnetization**: 0.000 μB/f.u.
**ρ**: 13654 kg/m3
**Energy of formation from the pure elements**: 29 kJ/mol of atoms

Cell lengths 4.9207, 2.7246, 4.5217 Å; angles 90.00, 90.00, 90.00 degrees
Atoms (fractional coordinates):
Zn1 0.3077 0.0000 0.5000
Zn2 0.0256 0.0000 0.0000
W1 0.8088 0.5000 0.5000
W2 0.5245 0.5000 0.0000


# 11
## LiCdFeAs (GGA-PBE)

Data for a relaxed LiCdFeAs crystal.

**Distance to the lowest polymorph of the same formula**: 0 meV/atom
**Spin magnetization**: 2.045 μB/f.u.
**ρ**: 6851 kg/m3

Cell lengths 4.4094, 4.4094, 4.4094 Å; angles 60.00, 60.00, 60.00 degrees
Atoms (fractional coordinates):
Li1 0.2500 0.2500 0.2500
Cd1 0.5000 0.5000 0.5000
Fe1 0.7500 0.7500 0.7500
As1 0.0000 0.0000 0.0000


# 12
## Cu7Ag3 (GGA-PBE)

Data for a relaxed Cu7Ag3 crystal.

**Distance to the lowest polymorph of the same formula**: 43 meV/atom
**ρ**: 9295 kg/m3
**Energy of formation from the pure elements**: 8 kJ/mol of atoms

Cell lengths 4.6695, 4.6695, 8.4926 Å; angles 90.66, 90.66, 47.85 degrees
Atoms (fractional coordinates):
Ag1 0.6995 0.6995 0.9093
Ag2 0.2000 0.2000 0.3981
Ag3 0.4004 0.4004 0.7927
Cu1 0.0015 0.0015 0.0155
Cu2 0.5003 0.5003 0.4960
Cu3 0.9012 0.9012 0.2946
Cu4 0.8016 0.8016 0.5924
Cu5 0.5926 0.5926 0.2016
Cu6 0.0968 0.0968 0.6918
Cu7 0.3061 0.3061 0.1080